Material: KGa2Sn6
Method: DFT, PBE
State: relaxed

ΔH_f (0 K): -0.66 kcal/mol of atoms

Unit cell a=4.8629 b=4.8629 c=10.6374 alpha=90.00 beta=90.00 gamma=90.00
Space group P4/mmm (No. 123)
Unique sites:
K (0.0000, 0.0000, 0.0000) [1 per cell]
Ga (0.5000, 0.5000, 0.1243) [2 per cell]
Sn (0.0000, 0.0000, 0.5000) [1 per cell]
Sn (0.0000, 0.5000, 0.2815) [4 per cell]
Sn (0.5000, 0.5000, 0.5000) [1 per cell]

Material: NaPaMnS6
Method: DFT, PBE
State: relaxed

formation energy without anion corrections: -0.64 eV per atom

Unit cell a=6.5765 b=6.5765 c=5.4333 alpha=90.00 beta=90.00 gamma=120.00
Space group P312 (No. 149)
Unique sites:
Na (0.0000, 0.0000, 0.0000) [1 per cell]
Pa (0.3333, 0.6667, 0.5000) [1 per cell]
Mn (0.6667, 0.3333, 0.0000) [1 per cell]
S (0.3912, 0.0309, 0.7579) [6 per cell]

Material: HgSN2O
Method: DFT, PBE
State: relaxed

formation energy without anion corrections: 2.14 eV per atom

Unit cell a=3.9454 b=3.9454 c=4.2310 alpha=90.00 beta=90.00 gamma=90.00
Space group P4/mmm (No. 123)
Unique sites:
Hg (0.0000, 0.0000, 0.0000) [1 per cell]
S (0.5000, 0.5000, 0.0000) [1 per cell]
N (0.0000, 0.5000, 0.5000) [2 per cell]
O (0.5000, 0.5000, 0.5000) [1 per cell]

Material: TiTlSb2
Method: DFT, PBE
State: relaxed

ΔE to the lowest computed polymorph: 0.05 eV/f.u.
formation energy without anion corrections: -0.14 eV per atom

Unit cell a=3.9350 b=3.9350 c=24.3515 alpha=90.00 beta=90.00 gamma=120.00
Space group R-3m (No. 166, hexagonal axes)
Unique sites:
Ti (0.0000, 0.0000, 0.0000) [3 per cell]
Tl (0.0000, 0.0000, 0.5000) [3 per cell]
Sb (0.0000, 0.0000, 0.2658) [6 per cell]

Material: NaTc2Ge2
Method: DFT, PBE
State: relaxed

ΔE to the lowest computed polymorph: 0.29 eV/f.u.
ΔH_f (0 K): 2.09 kcal/mol of atoms

Unit cell a=7.5604 b=7.5604 c=2.8485 alpha=90.00 beta=90.00 gamma=90.00
Space group P4/mbm (No. 127)
Unique sites:
Na (0.0000, 0.0000, 0.0000) [2 per cell]
Tc (0.1369, 0.3631, 0.0000) [4 per cell]
Ge (0.1545, 0.6545, 0.5000) [4 per cell]

Material: Ca6AgAu3
Method: DFT, PBE
State: relaxed

ΔH_f (0 K): -12.62 kcal/mol of atoms

Unit cell a=11.0497 b=4.4172 c=12.9123 alpha=90.00 beta=109.65 gamma=90.00
Space group P2_1/m (No. 11)
Unique sites:
Ca (0.0258, 0.2500, 0.3861) [2 per cell]
Ca (0.0780, 0.2500, 0.9086) [2 per cell]
Ca (0.2445, 0.7500, 0.3225) [2 per cell]
Ca (0.3382, 0.7500, 0.7959) [2 per cell]
Ca (0.3440, 0.7500, 0.0985) [2 per cell]
Ca (0.3921, 0.2500, 0.5667) [2 per cell]
Ag (0.4233, 0.2500, 0.2949) [2 per cell]
Au (0.1323, 0.2500, 0.1614) [2 per cell]
Au (0.1961, 0.7500, 0.5362) [2 per cell]
Au (0.3972, 0.2500, 0.9629) [2 per cell]

Material: LaY2Ga6
Method: DFT, PBE
State: relaxed

ΔE to the lowest computed polymorph: 1.35 eV/f.u.
ΔH_f (0 K): -11.85 kcal/mol of atoms

Unit cell a=4.3859 b=7.2364 c=13.1290 alpha=90.00 beta=90.00 gamma=90.00
Space group Immm (No. 71)
Unique sites:
La (0.0000, 0.0000, 0.0000) [2 per cell]
Y (0.0000, 0.5000, 0.1271) [4 per cell]
Ga (0.0000, 0.1787, 0.5000) [4 per cell]
Ga (0.0000, 0.3031, 0.3155) [8 per cell]

Material: Tl3VAs
Method: DFT, PBE
State: relaxed

ΔE to the lowest computed polymorph: 0.00 eV/f.u.
ΔH_f (0 K): 17.44 kcal/mol of atoms

Unit cell a=5.3932 b=5.3932 c=5.3932 alpha=90.00 beta=90.00 gamma=90.00
Space group Pm-3m (No. 221)
Unique sites:
Tl (0.0000, 0.0000, 0.5000) [3 per cell]
V (0.0000, 0.0000, 0.0000) [1 per cell]
As (0.5000, 0.5000, 0.5000) [1 per cell]

Material: Ac2ErCdPd6
Method: DFT, PBE
State: relaxed

ΔH_f (0 K): -5.08 kcal/mol of atoms

Unit cell a=10.1033 b=10.1033 c=10.1033 alpha=90.00 beta=90.00 gamma=90.00
Space group Fm-3m (No. 225)
Unique sites:
Ac (0.2500, 0.2500, 0.2500) [8 per cell]
Er (0.0000, 0.0000, 0.0000) [4 per cell]
Cd (0.0000, 0.0000, 0.5000) [4 per cell]
Pd (0.0000, 0.0000, 0.2491) [24 per cell]

Material: Zr2InHg2
Method: DFT, PBE
State: relaxed

ΔE to the lowest computed polymorph: 0.39 eV/f.u.
ΔH_f (0 K): -0.08 kcal/mol of atoms

Unit cell a=8.0031 b=13.8515 c=5.4142 alpha=90.00 beta=130.83 gamma=90.00
Space group C2/c (No. 15)
Unique sites:
Zr (0.0000, 0.1556, 0.2500) [4 per cell]
Zr (0.0000, 0.2519, 0.7500) [4 per cell]
In (0.0000, 0.3713, 0.2500) [4 per cell]
Hg (0.2385, 0.0581, 0.9938) [8 per cell]

Material: Ce2TmAu4
Method: DFT, PBE
State: relaxed

ΔH_f (0 K): -13.27 kcal/mol of atoms

Unit cell a=5.1981 b=5.1981 c=13.2438 alpha=90.00 beta=90.00 gamma=90.00
Space group I4/mmm (No. 139)
Unique sites:
Ce (0.0000, 0.0000, 0.2214) [4 per cell]
Tm (0.0000, 0.0000, 0.5000) [2 per cell]
Au (0.0000, 0.5000, 0.1121) [8 per cell]

Material: NaLa3Ir
Method: DFT, PBE
State: relaxed

ΔE to the lowest computed polymorph: 0.91 eV/f.u.
ΔH_f (0 K): -3.29 kcal/mol of atoms

Unit cell a=15.1863 b=15.1863 c=15.1863 alpha=90.00 beta=90.00 gamma=90.00
Space group Fd-3m (No. 227, origin choice 2)
Unique sites:
Na (0.0000, 0.0000, 0.0000) [16 per cell]
La (0.0647, 0.3750, 0.8750) [48 per cell]
Ir (0.0000, 0.0000, 0.5000) [16 per cell]